[1]
AcGdPb2 | PBE | optimized geometry

Structure (extended XYZ):
```
4
Lattice="-5.3340 -1.4253 -1.4487 -1.3068 -0.9800 -5.4693 -1.1606 -5.3077 -1.7502" Properties=species:S:1:pos:R:3 pbc="T T T"
Ac -3.9007 -3.8565 -4.3341
Gd 0.0000 0.0000 0.0000
Pb -5.8510 -5.7847 -6.5012
Pb -1.9503 -1.9282 -2.1671
```

Calculated values
space-group type	Fm-3m (225)
crystal system	cubic
N(E_F)	5.41	states/eV per cell

[2]
AcGd2Pb | PBE | optimized geometry

Structure (extended XYZ):
```
4
Lattice="-0.7126 -2.8537 2.2857 1.6376 -3.2969 -0.5703 8.9032 1.0795 7.1587" Properties=species:S:1:pos:R:3 pbc="T T T"
Gd 2.6154 -1.2101 2.3399
Gd 7.2128 -3.8610 6.5343
Ac 0.0000 0.0000 0.0000
Pb 4.9141 -2.5356 4.4371
```

Calculated values
space-group type	R-3m (166)
crystal system	trigonal
N(E_F)	4.19	states/eV per cell

[3]
AcGdPb | PBE | optimized geometry

Structure (extended XYZ):
```
3
Lattice="4.2489 0.0000 0.0000 0.0000 4.2489 0.0000 -2.1245 -2.1245 5.6930" Properties=species:S:1:pos:R:3 pbc="T T T"
Ac 2.1245 2.1245 1.2210
Pb 2.1244 2.1244 4.9432
Gd 0.0000 0.0000 3.5139
```

Calculated values
space-group type	I4mm (107)
crystal system	tetragonal
N(E_F)	4.11	states/eV per cell

[4]
AcGd2Pb | PBE | optimized geometry

Structure (extended XYZ):
```
4
Lattice="5.6710 0.0000 0.0000 2.8355 4.9112 0.0000 2.8355 1.6371 4.6304" Properties=species:S:1:pos:R:3 pbc="T T T"
Gd 8.5065 4.9112 3.4728
Pb 5.6710 3.2742 2.3152
Gd 2.8355 1.6371 1.1576
Ac 0.0000 0.0000 0.0000
```

Calculated values
space-group type	Fm-3m (225)
crystal system	cubic
N(E_F)	4.76	states/eV per cell

no.,E_form (meV/atom)
1,-420
2,-151
3,-305
4,-107